Material: Zr2CrAg
Method: DFT, meta-GGA SCAN
State: single point on PBEsol structure Values from VASP.

```
&SYSTEM
  ibrav = 0, nat = 4, ntyp = 3
/
ATOMIC_SPECIES
Zr 91.22 Zr.upf
Cr 52.00 Cr.upf
Ag 107.87 Ag.upf
CELL_PARAMETERS angstrom
3.021 0.000 0.000
1.510 2.616 0.000
1.510 0.872 9.466
ATOMIC_POSITIONS crystal
Zr 0.753 0.753 0.742
Cr 0.249 0.249 0.252
Zr 0.992 0.992 0.023
Ag 0.506 0.506 0.483
```

## Properties
SG: R3m (160)
Energy relative to the lowest polymorph listed for this composition in meV/atom: 200
Energy of formation from the pure elements in eV per formula unit: 1.14
Total DFT energy (no corrections) in eV per atom: -27.502

***

Material: La3Y
Method: DFT, meta-GGA SCAN
State: single point on PBEsol structure Values from VASP.

```
&SYSTEM
  ibrav = 0, nat = 4, ntyp = 2
/
ATOMIC_SPECIES
La 138.91 La.upf
Y 88.91 Y.upf
CELL_PARAMETERS angstrom
-4.735 -1.384 -1.288
-0.304 -2.870 4.203
-1.866 3.980 2.583
ATOMIC_POSITIONS crystal
La 0.500 0.000 0.000
La 0.000 0.500 0.000
La 0.000 0.000 0.500
Y 0.500 0.500 0.500
```

## Properties
SG: Pm-3m (221)
Energy of formation from the pure elements in eV per formula unit: 0.05
Total DFT energy (no corrections) in eV per atom: -39.276